CaTe4Cl | PBE | relaxed Values from VASP.

Cell and atoms, written as Quantum ESPRESSO input:
```
&SYSTEM
  ibrav = 0, nat = 6, ntyp = 3
/
ATOMIC_SPECIES
Ca 40.08 Ca.upf
Te 127.60 Te.upf
Cl 35.45 Cl.upf
CELL_PARAMETERS angstrom
0.000 4.507 4.507
4.507 0.000 4.507
4.507 4.507 0.000
ATOMIC_POSITIONS angstrom
Ca 0.000 0.000 0.000
Te 3.382 3.382 3.382
Te 5.631 5.631 3.382
Te 5.631 3.382 5.631
Te 3.382 5.631 5.631
Cl 6.760 6.760 6.760
```

volume = 30.5 A^3/atom
raw formation energy = -0.3557 eV per atom
space-group type = F-43m
magnetic moment = 0.0 μB per formula unit